# 1
DFT (PBE) results for a geometry-optimized NaLiCd2 structure.

Calculated values
- V (Å³/f.u.) = 81
- space group = No. 51
- raw total energy (eV for the cell shown) = -11.2

Cell and atoms, written as CIF:
```
data_NaLiCd2
_space_group_name_H-M_alt 'P 1'
_space_group_IT_number 1
_space_group_name_Hall 'P 1'
_cell_length_a 4.8609
_cell_length_b 4.8536
_cell_length_c 6.8872
_cell_angle_alpha 90.00
_cell_angle_beta 90.00
_cell_angle_gamma 90.00
loop_
_atom_site_label
_atom_site_type_symbol
_atom_site_fract_x
_atom_site_fract_y
_atom_site_fract_z
_atom_site_occupancy
Na1 Na 0.2500 0.0000 0.1310 1
Na2 Na 0.7500 0.0000 0.8690 1
Li1 Li 0.2500 0.5000 0.3893 1
Li2 Li 0.7500 0.5000 0.6107 1
Cd1 Cd 0.2500 0.0000 0.6118 1
Cd2 Cd 0.2500 0.5000 0.8575 1
Cd3 Cd 0.7500 0.0000 0.3882 1
Cd4 Cd 0.7500 0.5000 0.1425 1
```

---

# 2
DFT (PBE) results for a geometry-optimized Na3LiCd4 structure.

Calculated values
- V (Å³/f.u.) = 175
- space group = No. 115
- raw total energy (eV for the cell shown) = -10.4

Cell and atoms, written as CIF:
```
data_Na3LiCd4
_space_group_name_H-M_alt 'P 1'
_space_group_IT_number 1
_space_group_name_Hall 'P 1'
_cell_length_a 4.9860
_cell_length_b 4.9860
_cell_length_c 7.0334
_cell_angle_alpha 90.00
_cell_angle_beta 90.00
_cell_angle_gamma 90.00
loop_
_atom_site_label
_atom_site_type_symbol
_atom_site_fract_x
_atom_site_fract_y
_atom_site_fract_z
_atom_site_occupancy
Na1 Na 0.0000 0.0000 0.0000 1
Na2 Na 0.0000 0.5000 0.7437 1
Na3 Na 0.5000 0.0000 0.2563 1
Li1 Li 0.5000 0.5000 0.5000 1
Cd1 Cd 0.0000 0.0000 0.5000 1
Cd2 Cd 0.0000 0.5000 0.2635 1
Cd3 Cd 0.5000 0.0000 0.7365 1
Cd4 Cd 0.5000 0.5000 0.0000 1
```

---

# 3
DFT (PBE) results for a geometry-optimized LiNb2Cd structure.

Calculated values
- V (Å³/f.u.) = 72
- magnetic moment (μB per formula unit) = 0.81
- space group = No. 216
- raw total energy (eV for the cell shown) = -21.0

Cell and atoms, written as CIF:
```
data_LiNb2Cd
_space_group_name_H-M_alt 'P 1'
_space_group_IT_number 1
_space_group_name_Hall 'P 1'
_cell_length_a 4.6667
_cell_length_b 4.6667
_cell_length_c 4.6667
_cell_angle_alpha 60.00
_cell_angle_beta 60.00
_cell_angle_gamma 60.00
loop_
_atom_site_label
_atom_site_type_symbol
_atom_site_fract_x
_atom_site_fract_y
_atom_site_fract_z
_atom_site_occupancy
Li1 Li 0.0000 0.0000 0.0000 1
Nb1 Nb 0.5000 0.5000 0.5000 1
Nb2 Nb 0.7500 0.7500 0.7500 1
Cd1 Cd 0.2500 0.2500 0.2500 1
```

---

# 4
DFT (PBE) results for a geometry-optimized Li2NbCd structure.

Calculated values
- V (Å³/f.u.) = 68
- magnetic moment (μB per formula unit) = 0.51
- space group = No. 216
- raw total energy (eV for the cell shown) = -13.2

Cell and atoms, written as CIF:
```
data_Li2NbCd
_space_group_name_H-M_alt 'P 1'
_space_group_IT_number 1
_space_group_name_Hall 'P 1'
_cell_length_a 4.5785
_cell_length_b 4.5785
_cell_length_c 4.5785
_cell_angle_alpha 60.00
_cell_angle_beta 60.00
_cell_angle_gamma 60.00
loop_
_atom_site_label
_atom_site_type_symbol
_atom_site_fract_x
_atom_site_fract_y
_atom_site_fract_z
_atom_site_occupancy
Li1 Li 0.0000 0.0000 0.0000 1
Li2 Li 0.2500 0.2500 0.2500 1
Nb1 Nb 0.5000 0.5000 0.5000 1
Cd1 Cd 0.7500 0.7500 0.7500 1
```

---

# 5
DFT (PBE) results for a geometry-optimized LiNbCd2 structure.

Calculated values
- V (Å³/f.u.) = 72
- magnetic moment (μB per formula unit) = 1.52
- space group = No. 216
- raw total energy (eV for the cell shown) = -12.4

Cell and atoms, written as CIF:
```
data_LiNbCd2
_space_group_name_H-M_alt 'P 1'
_space_group_IT_number 1
_space_group_name_Hall 'P 1'
_cell_length_a 4.6775
_cell_length_b 4.6775
_cell_length_c 4.6775
_cell_angle_alpha 60.00
_cell_angle_beta 60.00
_cell_angle_gamma 60.00
loop_
_atom_site_label
_atom_site_type_symbol
_atom_site_fract_x
_atom_site_fract_y
_atom_site_fract_z
_atom_site_occupancy
Li1 Li 0.0000 0.0000 0.0000 1
Nb1 Nb 0.2500 0.2500 0.2500 1
Cd1 Cd 0.5000 0.5000 0.5000 1
Cd2 Cd 0.7500 0.7500 0.7500 1
```

---

# 6
DFT (PBE) results for a geometry-optimized LiNbCdNi structure.

Calculated values
- V (Å³/f.u.) = 62
- magnetic moment (μB per formula unit) = 0.00
- space group = No. 216
- raw total energy (eV for the cell shown) = -17.8

Cell and atoms, written as CIF:
```
data_LiNbCdNi
_space_group_name_H-M_alt 'P 1'
_space_group_IT_number 1
_space_group_name_Hall 'P 1'
_cell_length_a 4.4526
_cell_length_b 4.4526
_cell_length_c 4.4526
_cell_angle_alpha 60.00
_cell_angle_beta 60.00
_cell_angle_gamma 60.00
loop_
_atom_site_label
_atom_site_type_symbol
_atom_site_fract_x
_atom_site_fract_y
_atom_site_fract_z
_atom_site_occupancy
Li1 Li 0.0000 0.0000 0.0000 1
Nb1 Nb 0.5000 0.5000 0.5000 1
Cd1 Cd 0.7500 0.7500 0.7500 1
Ni1 Ni 0.2500 0.2500 0.2500 1
```

---

# 7
DFT (PBE) results for a geometry-optimized LiNbCdNi structure.

Calculated values
- V (Å³/f.u.) = 59
- magnetic moment (μB per formula unit) = 0.00
- space group = No. 216
- raw total energy (eV for the cell shown) = -18.5

Cell and atoms, written as CIF:
```
data_LiNbCdNi
_space_group_name_H-M_alt 'P 1'
_space_group_IT_number 1
_space_group_name_Hall 'P 1'
_cell_length_a 4.3588
_cell_length_b 4.3588
_cell_length_c 4.3588
_cell_angle_alpha 60.00
_cell_angle_beta 60.00
_cell_angle_gamma 60.00
loop_
_atom_site_label
_atom_site_type_symbol
_atom_site_fract_x
_atom_site_fract_y
_atom_site_fract_z
_atom_site_occupancy
Li1 Li 0.0000 0.0000 0.0000 1
Nb1 Nb 0.7500 0.7500 0.7500 1
Cd1 Cd 0.2500 0.2500 0.2500 1
Ni1 Ni 0.5000 0.5000 0.5000 1
```

---

# 8
DFT (PBE) results for a geometry-optimized LiNbCdPd structure.

Calculated values
- V (Å³/f.u.) = 67
- magnetic moment (μB per formula unit) = 0.00
- space group = No. 216
- raw total energy (eV for the cell shown) = -18.2

Cell and atoms, written as CIF:
```
data_LiNbCdPd
_space_group_name_H-M_alt 'P 1'
_space_group_IT_number 1
_space_group_name_Hall 'P 1'
_cell_length_a 4.5632
_cell_length_b 4.5632
_cell_length_c 4.5632
_cell_angle_alpha 60.00
_cell_angle_beta 60.00
_cell_angle_gamma 60.00
loop_
_atom_site_label
_atom_site_type_symbol
_atom_site_fract_x
_atom_site_fract_y
_atom_site_fract_z
_atom_site_occupancy
Li1 Li 0.0000 0.0000 0.0000 1
Nb1 Nb 0.5000 0.5000 0.5000 1
Cd1 Cd 0.2500 0.2500 0.2500 1
Pd1 Pd 0.7500 0.7500 0.7500 1
```

---

# 9
DFT (PBE) results for a geometry-optimized LiNbCdPd structure.

Calculated values
- V (Å³/f.u.) = 65
- magnetic moment (μB per formula unit) = 0.00
- space group = No. 216
- raw total energy (eV for the cell shown) = -18.5

Cell and atoms, written as CIF:
```
data_LiNbCdPd
_space_group_name_H-M_alt 'P 1'
_space_group_IT_number 1
_space_group_name_Hall 'P 1'
_cell_length_a 4.5090
_cell_length_b 4.5090
_cell_length_c 4.5090
_cell_angle_alpha 60.00
_cell_angle_beta 60.00
_cell_angle_gamma 60.00
loop_
_atom_site_label
_atom_site_type_symbol
_atom_site_fract_x
_atom_site_fract_y
_atom_site_fract_z
_atom_site_occupancy
Li1 Li 0.0000 0.0000 0.0000 1
Nb1 Nb 0.2500 0.2500 0.2500 1
Cd1 Cd 0.7500 0.7500 0.7500 1
Pd1 Pd 0.5000 0.5000 0.5000 1
```

---

# 10
DFT (PBE) results for a geometry-optimized Li2NbCdS4 structure.

Calculated values
- V (Å³/f.u.) = 183
- magnetic moment (μB per formula unit) = 1.00
- space group = No. 31
- raw total energy (eV for the cell shown) = -77.4

Cell and atoms, written as CIF:
```
data_Li2NbCdS4
_space_group_name_H-M_alt 'P 1'
_space_group_IT_number 1
_space_group_name_Hall 'P 1'
_cell_length_a 8.0978
_cell_length_b 6.9216
_cell_length_c 6.5141
_cell_angle_alpha 90.00
_cell_angle_beta 90.00
_cell_angle_gamma 90.00
loop_
_atom_site_label
_atom_site_type_symbol
_atom_site_fract_x
_atom_site_fract_y
_atom_site_fract_z
_atom_site_occupancy
Li1 Li 0.2477 0.1682 0.0000 1
Li2 Li 0.2523 0.8318 0.5000 1
Li3 Li 0.7477 0.8318 0.5000 1
Li4 Li 0.7523 0.1682 0.0000 1
Nb1 Nb 0.0000 0.6759 0.0012 1
Nb2 Nb 0.5000 0.3241 0.5012 1
Cd1 Cd 0.0000 0.3416 0.5005 1
Cd2 Cd 0.5000 0.6584 0.0005 1
S1 S 0.0000 0.3508 0.8966 1
S2 S 0.0000 0.6903 0.3617 1
S3 S 0.2374 0.8315 0.8787 1
S4 S 0.2626 0.1685 0.3787 1
S5 S 0.5000 0.3097 0.8617 1
S6 S 0.5000 0.6492 0.3966 1
S7 S 0.7374 0.1685 0.3787 1
S8 S 0.7626 0.8315 0.8787 1
```

---

# 11
DFT (PBE) results for a geometry-optimized LiNdCdO3 structure.

Calculated values
- V (Å³/f.u.) = 109
- magnetic moment (μB per formula unit) = 0.06
- space group = No. 63
- raw total energy (eV for the cell shown) = -56.2

Cell and atoms, written as CIF:
```
data_LiNdCdO3
_space_group_name_H-M_alt 'P 1'
_space_group_IT_number 1
_space_group_name_Hall 'P 1'
_cell_length_a 8.2260
_cell_length_b 8.2260
_cell_length_c 8.1059
_cell_angle_alpha 90.00
_cell_angle_beta 90.00
_cell_angle_gamma 156.57
loop_
_atom_site_label
_atom_site_type_symbol
_atom_site_fract_x
_atom_site_fract_y
_atom_site_fract_z
_atom_site_occupancy
Li1 Li 0.2221 0.7779 0.7500 1
Li2 Li 0.7779 0.2221 0.2500 1
Nd1 Nd 0.0000 0.0000 0.0000 1
Nd2 Nd 0.0000 0.0000 0.5000 1
Cd1 Cd 0.3801 0.6199 0.7500 1
Cd2 Cd 0.6199 0.3801 0.2500 1
O1 O 0.1126 0.8874 0.6605 1
O2 O 0.1126 0.8874 0.8395 1
O3 O 0.2047 0.7953 0.2500 1
O4 O 0.7953 0.2047 0.7500 1
O5 O 0.8874 0.1126 0.1605 1
O6 O 0.8874 0.1126 0.3395 1
```

---

# 12
DFT (PBE) results for a geometry-optimized LiNdCdS3 structure.

Calculated values
- V (Å³/f.u.) = 141
- magnetic moment (μB per formula unit) = 0.00
- space group = No. 63
- raw total energy (eV for the cell shown) = -54.5

Cell and atoms, written as CIF:
```
data_LiNdCdS3
_space_group_name_H-M_alt 'P 1'
_space_group_IT_number 1
_space_group_name_Hall 'P 1'
_cell_length_a 6.5760
_cell_length_b 6.5760
_cell_length_c 11.1284
_cell_angle_alpha 90.00
_cell_angle_beta 90.00
_cell_angle_gamma 144.23
loop_
_atom_site_label
_atom_site_type_symbol
_atom_site_fract_x
_atom_site_fract_y
_atom_site_fract_z
_atom_site_occupancy
Li1 Li 0.2497 0.7503 0.7500 1
Li2 Li 0.7503 0.2497 0.2500 1
Nd1 Nd 0.0000 0.0000 0.0000 1
Nd2 Nd 0.0000 0.0000 0.5000 1
Cd1 Cd 0.4731 0.5269 0.2500 1
Cd2 Cd 0.5269 0.4731 0.7500 1
S1 S 0.0998 0.9002 0.2500 1
S2 S 0.3555 0.6445 0.0711 1
S3 S 0.3555 0.6445 0.4289 1
S4 S 0.6445 0.3555 0.5711 1
S5 S 0.6445 0.3555 0.9289 1
S6 S 0.9002 0.0998 0.7500 1
```